RbTaO3 | PBE | optimized geometry

Calculated values
DFT total energy	-160.07	eV/cell
magnetization	0.0004	μB/atom

Cell and atoms, written as POSCAR:
```
RbTaO3
1.0
-3.054 -1.547 4.092
5.528 -9.588 0.502
3.839 2.411 3.776
O Rb Ta
12 4 4
Direct
0.084 0.250 0.000
0.916 0.750 0.000
0.628 0.148 0.250
0.914 0.499 0.250
0.372 0.648 0.250
0.086 0.999 0.250
0.084 0.250 0.500
0.916 0.750 0.500
0.914 0.001 0.750
0.628 0.352 0.750
0.086 0.501 0.750
0.372 0.852 0.750
0.448 0.395 0.250
0.552 0.895 0.250
0.448 0.105 0.750
0.552 0.605 0.750
0.968 0.152 0.250
0.032 0.652 0.250
0.968 0.348 0.750
0.032 0.848 0.750
```